The following is a GGA-PBE calculation of crystalline BaAgTe2Au at its relaxed geometry, from the Alexandria database.

Summary:
The uncorrected formation energy comes out at -0.6924 eV/atom. Its symmetry is Cmme, No. 67.

a b c (Å): 8.287 8.287 6.381
angles (deg): 90.00 90.00 134.90
Fractional positions:
Ba 0.250 0.750 0.761
Ba 0.750 0.250 0.239
Ag 0.250 0.250 0.500
Ag 0.750 0.750 0.500
Te 0.132 0.868 0.263
Te 0.368 0.632 0.263
Te 0.632 0.368 0.737
Te 0.868 0.132 0.737
Au 0.000 0.000 0.000
Au 0.500 0.500 0.000